Record 1
Material: LaNbI2Br
Method: DFT, PBEsol
State: optimized geometry

abc: 5.270 6.457 6.457
angles: 90.00 90.00 90.00
Site moments in Bohr magnetons follow the coordinates.
Element x y z (fractional)
1 I 0.000 0.000 0.500  -0.01
2 I 0.000 0.500 0.000  -0.01
3 Nb 0.500 0.500 0.500  3.11
4 Br 0.000 0.000 0.000  -0.01
5 La 0.500 0.000 0.000  0.20

## Properties
Fermi-level density of states, states/eV/cell: 5.654
Spin magnetization, Bohr magnetons per cell: 4.9
Space-group type: No. 123
Raw formation energy, eV per atom: 0.772

=====

Record 2
Material: Ag6Pt5
Method: DFT, PBEsol
State: optimized geometry

abc: 4.002 4.857 10.091
angles: 103.67 90.00 114.33
Element x y z (fractional)
1 Pt 0.816 0.633 0.234
2 Pt 0.538 0.075 0.319
3 Pt 0.000 0.000 0.500
4 Pt 0.462 0.925 0.681
5 Pt 0.184 0.367 0.766
6 Ag 0.911 0.823 0.861
7 Ag 0.639 0.278 0.954
8 Ag 0.361 0.722 0.046
9 Ag 0.089 0.177 0.139
10 Ag 0.270 0.540 0.410
11 Ag 0.730 0.460 0.590

## Properties
Fermi-level density of states, states/eV/cell: 8.209
Spin magnetization, Bohr magnetons per cell: 0.0
Space-group type: No. 12
Energy of formation, eV per atom: 0.04
Energy above the most stable polymorph in this dataset, meV/atom: 43

=====

Record 3
Material: AlNi4As3
Method: DFT, PBEsol
State: optimized geometry

abc: 3.605 3.605 9.719
angles: 90.00 90.00 120.00
Element x y z (fractional)
1 Ni 0.000 0.000 0.873
2 Ni 0.000 0.000 0.375
3 Ni 0.000 0.000 0.625
4 Ni 0.000 0.000 0.127
5 As 0.333 0.667 0.500
6 As 0.667 0.333 0.760
7 As 0.667 0.333 0.240
8 Al 0.333 0.667 0.000

## Properties
Fermi-level density of states, states/eV/cell: 4.848
Spin magnetization, Bohr magnetons per cell: 0.0
Space-group type: No. 187
Energy of formation, eV per atom: -0.36

=====

Record 4
Material: KAs2Ru
Method: DFT, PBEsol
State: optimized geometry

abc: 3.055 3.443 7.782
angles: 90.00 90.00 90.00
Element x y z (fractional)
1 As 0.000 0.000 0.837
2 As 0.500 0.000 0.198
3 K 0.000 0.500 0.493
4 Ru 0.500 0.500 0.972

## Properties
Fermi-level density of states, states/eV/cell: 2.234
Spin magnetization, Bohr magnetons per cell: 0.0
Space-group type: No. 25
Energy of formation, eV per atom: -0.11
Energy above the most stable polymorph in this dataset, meV/atom: 0

=====

Record 5
Material: ZnCo2Re
Method: DFT, PBEsol
State: optimized geometry

abc: 2.593 4.348 4.348
angles: 105.01 90.00 90.00
Element x y z (fractional)
1 Re 0.500 0.000 0.000
2 Zn 0.500 0.500 0.500
3 Co 0.000 0.500 0.000
4 Co 0.000 0.000 0.500

## Properties
Fermi-level density of states, states/eV/cell: 3.218
Spin magnetization, Bohr magnetons per cell: 0.0
Space-group type: No. 65
Energy of formation, eV per atom: 0.08

=====

Record 6
Material: MgInHg
Method: DFT, PBEsol
State: optimized geometry

abc: 3.384 3.384 6.853
angles: 90.00 90.00 120.00
Element x y z (fractional)
1 Mg 0.667 0.333 0.321
2 Hg 0.000 0.000 0.010
3 In 0.333 0.667 0.669

## Properties
Fermi-level density of states, states/eV/cell: 1.016
Spin magnetization, Bohr magnetons per cell: 0.0
Space-group type: No. 156
Energy of formation, eV per atom: -0.13